# CuPt2SO

A relaxed structure of CuPt2SO (GGA-PBE, Alexandria).

Output
* formation energy without anion corrections: 355 kJ/mol of formula units
* final energy: -21.58 eV per cell
* volume: 15.46 A^3/atom
* Fermi-level density of states: 5.6 states/eV/cell
* SG: P4/mmm (123)

Unit cell a=4.062 b=4.684 c=4.062 alpha=90.00 beta=90.00 gamma=90.00
Sites, in units of the cell vectors:
1 O 0.000 0.000 0.000
2 S 0.000 0.500 0.000
3 Cu 0.500 0.500 0.500
4 Pt 0.000 0.000 0.500
5 Pt 0.500 0.000 0.000